# 1
A relaxed structure of YAu2, computed with GGA-PBEsol. Values from VASP.

Energy (eV for the cell shown): -34.59
Energy of formation from the pure elements (eV/atom): -0.875

Quantum ESPRESSO input file:
```
&SYSTEM
  ibrav = 0, nat = 6, ntyp = 2
/
ATOMIC_SPECIES
Y 88.91 Y.upf
Au 196.97 Au.upf
CELL_PARAMETERS angstrom
3.678 0.000 0.000
0.000 3.678 0.000
0.000 0.000 8.922
ATOMIC_POSITIONS crystal
Y 0.000 0.000 0.000
Y 0.500 0.500 0.500
Au 0.000 0.000 0.334
Au 0.000 0.000 0.666
Au 0.500 0.500 0.166
Au 0.500 0.500 0.834
```

# 2
A relaxed structure of YAu2, computed with GGA-PBEsol. Values from VASP.

Energy (eV for the cell shown): -68.30
Energy of formation from the pure elements (eV/atom): -0.802

Quantum ESPRESSO input file:
```
&SYSTEM
  ibrav = 0, nat = 12, ntyp = 2
/
ATOMIC_SPECIES
Y 88.91 Y.upf
Au 196.97 Au.upf
CELL_PARAMETERS angstrom
4.529 0.000 0.000
0.000 9.373 0.000
0.000 0.000 5.802
ATOMIC_POSITIONS crystal
Y 0.000 0.192 0.250
Y 0.000 0.808 0.750
Y 0.500 0.308 0.750
Y 0.500 0.692 0.250
Au 0.000 0.119 0.750
Au 0.000 0.500 0.000
Au 0.000 0.500 0.500
Au 0.000 0.881 0.250
Au 0.500 0.000 0.000
Au 0.500 0.000 0.500
Au 0.500 0.381 0.250
Au 0.500 0.619 0.750
```

# 3
A relaxed structure of YAu, computed with GGA-PBEsol. Values from VASP.

Energy (eV for the cell shown): -74.02
Energy of formation from the pure elements (eV/atom): -0.795

Quantum ESPRESSO input file:
```
&SYSTEM
  ibrav = 0, nat = 12, ntyp = 2
/
ATOMIC_SPECIES
Y 88.91 Y.upf
Au 196.97 Au.upf
CELL_PARAMETERS angstrom
10.619 0.000 0.000
0.000 3.723 0.000
-2.572 0.000 7.219
ATOMIC_POSITIONS crystal
Y 0.000 0.000 0.000
Y 0.152 0.500 0.696
Y 0.335 0.500 0.352
Y 0.500 0.500 0.000
Y 0.652 0.000 0.696
Y 0.835 0.000 0.352
Au 0.122 0.000 0.392
Au 0.284 0.000 0.023
Au 0.376 0.000 0.687
Au 0.622 0.500 0.392
Au 0.784 0.500 0.023
Au 0.876 0.500 0.687
```

# 4
A relaxed structure of Y4Au, computed with GGA-PBEsol. Values from VASP.

Energy (eV for the cell shown): -60.07
Energy of formation from the pure elements (eV/atom): 0.236

Quantum ESPRESSO input file:
```
&SYSTEM
  ibrav = 0, nat = 10, ntyp = 2
/
ATOMIC_SPECIES
Y 88.91 Y.upf
Au 196.97 Au.upf
CELL_PARAMETERS angstrom
4.008 0.000 0.000
0.000 4.008 0.000
0.000 0.000 18.044
ATOMIC_POSITIONS crystal
Y 0.000 0.000 0.084
Y 0.000 0.000 0.916
Y 0.000 0.500 0.250
Y 0.000 0.500 0.750
Y 0.500 0.000 0.250
Y 0.500 0.000 0.750
Y 0.500 0.500 0.416
Y 0.500 0.500 0.584
Au 0.000 0.000 0.500
Au 0.500 0.500 0.000
```

# 5
A relaxed structure of YAu, computed with GGA-PBEsol. Values from VASP.

Energy (eV for the cell shown): -12.49
Energy of formation from the pure elements (eV/atom): -0.871

Quantum ESPRESSO input file:
```
&SYSTEM
  ibrav = 0, nat = 2, ntyp = 2
/
ATOMIC_SPECIES
Y 88.91 Y.upf
Au 196.97 Au.upf
CELL_PARAMETERS angstrom
3.547 0.000 0.000
0.000 3.547 0.000
0.000 0.000 3.547
ATOMIC_POSITIONS crystal
Y 0.000 0.000 0.000
Au 0.500 0.500 0.500
```

# 6
A relaxed structure of Y5Au3, computed with GGA-PBEsol. Values from VASP.

Energy (eV for the cell shown): -102.28
Energy of formation from the pure elements (eV/atom): -0.657

Quantum ESPRESSO input file:
```
&SYSTEM
  ibrav = 0, nat = 16, ntyp = 2
/
ATOMIC_SPECIES
Y 88.91 Y.upf
Au 196.97 Au.upf
CELL_PARAMETERS angstrom
8.568 0.000 0.000
-4.284 7.420 0.000
0.000 0.000 6.177
ATOMIC_POSITIONS crystal
Y 0.000 0.244 0.250
Y 0.000 0.756 0.750
Y 0.244 0.000 0.250
Y 0.244 0.244 0.750
Y 0.333 0.667 0.000
Y 0.333 0.667 0.500
Y 0.667 0.333 0.000
Y 0.667 0.333 0.500
Y 0.756 0.000 0.750
Y 0.756 0.756 0.250
Au 0.000 0.398 0.750
Au 0.000 0.602 0.250
Au 0.398 0.000 0.750
Au 0.398 0.398 0.250
Au 0.602 0.000 0.250
Au 0.602 0.602 0.750
```

# 7
A relaxed structure of YAu2, computed with GGA-PBEsol. Values from VASP.

Energy (eV for the cell shown): -68.03
Energy of formation from the pure elements (eV/atom): -0.779

Quantum ESPRESSO input file:
```
&SYSTEM
  ibrav = 0, nat = 12, ntyp = 2
/
ATOMIC_SPECIES
Y 88.91 Y.upf
Au 196.97 Au.upf
CELL_PARAMETERS angstrom
5.858 0.000 0.000
0.000 5.006 0.000
0.000 0.000 8.339
ATOMIC_POSITIONS crystal
Y 0.249 0.250 0.089
Y 0.251 0.750 0.589
Y 0.749 0.250 0.411
Y 0.751 0.750 0.911
Au 0.000 0.250 0.750
Au 0.000 0.750 0.250
Au 0.249 0.250 0.430
Au 0.251 0.750 0.930
Au 0.500 0.250 0.750
Au 0.500 0.750 0.250
Au 0.749 0.250 0.070
Au 0.751 0.750 0.570
```

# 8
A relaxed structure of YAu4, computed with GGA-PBEsol. Values from VASP.

Energy (eV for the cell shown): -49.50
Energy of formation from the pure elements (eV/atom): -0.446

Quantum ESPRESSO input file:
```
&SYSTEM
  ibrav = 0, nat = 10, ntyp = 2
/
ATOMIC_SPECIES
Y 88.91 Y.upf
Au 196.97 Au.upf
CELL_PARAMETERS angstrom
3.880 0.000 0.000
0.000 3.880 0.000
0.000 0.000 13.356
ATOMIC_POSITIONS crystal
Y 0.000 0.000 0.000
Y 0.500 0.500 0.500
Au 0.000 0.000 0.400
Au 0.000 0.000 0.600
Au 0.000 0.500 0.250
Au 0.000 0.500 0.750
Au 0.500 0.000 0.250
Au 0.500 0.000 0.750
Au 0.500 0.500 0.100
Au 0.500 0.500 0.900
```